A plane-wave DFT calculation with PBE was carried out for a relaxed ErTm3Zn4 crystal.

symmetry	P4/mmm, No. 123
size of the total moment	0.00	μB/f.u.
electronic total energy	-3.236	eV/atom
crystal system	tetragonal

Geometry as POSCAR:
```
ErTm3Zn4
1.0
-1.244 0.482 -4.791
5.809 -3.592 -1.869
-5.116 -8.518 0.472
Tm Zn Er
6 8 2
direct
0.000 0.000 0.000
0.000 0.000 0.500
0.500 0.500 0.750
0.500 0.000 0.250
0.500 0.000 0.750
0.500 0.500 0.250
0.500 0.249 0.000
0.500 0.249 0.500
0.000 0.249 0.250
0.000 0.249 0.750
0.500 0.751 0.000
0.500 0.751 0.500
0.000 0.751 0.250
0.000 0.751 0.750
0.000 0.500 0.000
0.000 0.500 0.500
```


A plane-wave DFT calculation with PBE was carried out for a relaxed YInB2Ir crystal.

symmetry	P4/mmm, No. 123
size of the total moment	0.00	μB/f.u.
electronic total energy	-5.874	eV/atom
crystal system	tetragonal

Geometry as POSCAR:
```
YInB2Ir
1.0
-4.170 0.302 0.616
-0.485 -3.981 -1.330
0.594 -1.692 4.849
B Y Ir In
2 1 1 1
direct
0.500 0.000 0.000
0.000 0.500 0.000
0.500 0.500 0.500
0.000 0.000 0.000
0.000 0.000 0.500
```


A plane-wave DFT calculation with PBE was carried out for a relaxed Ce8Hg2Rh crystal.

symmetry	C2/m, No. 12
size of the total moment	1.97	μB/f.u.
electronic total energy	-5.201	eV/atom
crystal system	monoclinic

Geometry as POSCAR:
```
Ce8Hg2Rh
1.0
-3.140 -5.150 0.211
1.649 -4.877 6.977
-3.886 -1.477 7.610
Hg Ce Rh
2 8 1
direct
0.819 0.308 0.308
0.181 0.692 0.692
0.255 0.105 0.581
0.745 0.419 0.895
0.255 0.581 0.105
0.277 0.481 0.481
0.671 0.904 0.904
0.329 0.096 0.096
0.723 0.519 0.519
0.745 0.895 0.419
0.000 0.000 0.000
```


A plane-wave DFT calculation with PBE was carried out for a relaxed AcHoIn crystal.

relative energy among the computed polymorphs	0.000	eV per atom
symmetry	P4/nmm, No. 129
size of the total moment	0.88	μB/f.u.
electronic total energy	-4.118	eV/atom
crystal system	tetragonal

Geometry as POSCAR:
```
AcHoIn
1.0
-4.065 1.668 -2.302
0.333 -3.710 -3.276
-4.799 -4.826 4.977
Ac In Ho
2 2 2
direct
0.500 0.000 0.150
0.000 0.500 0.850
0.500 0.000 0.741
0.000 0.500 0.259
0.500 0.500 0.500
0.000 0.000 0.500
```